Below is a relaxed BaY2Hg crystal, with properties calculated at the PBE level.

Results
**Energy of formation**: -0.07 eV per formula unit
**ρ**: 6.21 Mg/m³
**DOS(E_F)**: 1.139 states/eV/atom
**Final energy**: -3.806 eV/atom
**Space group**: No. 10
**Volume**: 34.48 Å³/atom

Lattice parameters (Å, degrees): 5.311 3.896 6.911 74.69 90.00 90.00
Fractional coordinates of all 4 atoms:
Y 0.000 0.909 0.960
Ba 0.500 0.250 0.250
Y 0.000 0.591 0.540
Hg 0.500 0.750 0.750